Record 1
Entry from Alexandria: crystalline K3IrF6 at its relaxed geometry (GGA-PBE).

## Properties
Formation energy from raw total energies   -208.14 kJ per mole of atoms
E   -4.495 eV/atom

Lattice parameters (Å, degrees): 6.371 7.653 7.653 104.15 90.00 90.00
Site moments in Bohr magnetons follow the coordinates.
Positions (direct):
K  0.483  0.702  0.909  0.00
K  0.983  0.909  0.702  0.00
K  0.459  0.169  0.831  0.00
K  0.959  0.831  0.169  0.00
K  0.983  0.298  0.091  0.00
K  0.483  0.091  0.298  0.00
Ir  0.011  0.384  0.616  0.09
Ir  0.511  0.616  0.384  0.09
F  0.315  0.680  0.597  0.00
F  0.815  0.597  0.680  0.00
F  0.190  0.447  0.844  0.01
F  0.690  0.844  0.447  0.01
F  0.718  0.001  0.999  0.00
F  0.822  0.255  0.745  0.00
F  0.322  0.745  0.255  0.00
F  0.218  0.999  0.001  0.00
F  0.190  0.156  0.553  0.01
F  0.690  0.553  0.156  0.01
F  0.315  0.403  0.320  0.00
F  0.815  0.320  0.403  0.00

=====

Record 2
Entry from Alexandria: crystalline In2ReAu at its relaxed geometry (GGA-PBE).

## Properties
Polymorph energy (0 for the lowest one)   0.114 eV/atom
E   -4.838 eV/atom
Energy relative to the elements   0.463 eV per atom

Lattice parameters (Å, degrees): 3.061 3.061 9.326 90.00 90.00 117.94
Site moments in Bohr magnetons follow the coordinates.
Positions (direct):
Au  0.500  0.500  0.750  0.00
In  0.000  0.000  0.007  0.00
In  0.000  0.000  0.493  0.00
Re  0.500  0.500  0.250  0.20

=====

Number 1 is which compound? K3IrF6